First-principles (GGA-PBE) data for an optimized crystal structure of NbTc3Ni, as listed in Alexandria via LeMat-Bulk.

extended XYZ file:
```
5
Lattice="4.6658 0.0000 0.0000 0.0000 4.6658 0.0000 0.0000 0.0000 4.6658" Properties=species:S:1:pos:R:3 pbc="T T T"
Nb 0.0000 0.0000 0.0000
Ni 2.3329 2.3329 2.3329
Tc 0.0000 2.3329 0.0000
Tc 2.3329 0.0000 0.0000
Tc 0.0000 0.0000 2.3329
```

Values from the calculation:
Fermi-level density of states in states/eV per atom: 1.262
Space group: No. 221
Total magnetic moment in Bohr magnetons per cell: 0.0
Energy above the lowest structure with this stoichiometry in meV per atom: 803.6
Energy of formation from the pure elements in kJ per mole of atoms: 196.2



First-principles (GGA-PBE) data for an optimized crystal structure of CaHfIn3, as listed in Alexandria via LeMat-Bulk.

extended XYZ file:
```
5
Lattice="-2.9616 1.9070 4.2506 3.2120 -2.8125 3.4997 3.3745 4.3507 0.3993" Properties=species:S:1:pos:R:3 pbc="T T T"
In 1.6872 2.1754 0.1996
In 1.6060 -1.4062 1.7499
In -1.4808 0.9535 2.1253
Ca 1.8125 1.7226 4.0748
Hf 0.0000 0.0000 0.0000
```

Values from the calculation:
Fermi-level density of states in states/eV per atom: 1.211
Space group: No. 221
Total magnetic moment in Bohr magnetons per cell: 0.0
Energy above the lowest structure with this stoichiometry in meV per atom: 0.0
Energy of formation from the pure elements in kJ per mole of atoms: 22.7



First-principles (GGA-PBE) data for an optimized crystal structure of Sr3Hg, as listed in Alexandria via LeMat-Bulk.

extended XYZ file:
```
4
Lattice="-1.0264 -3.8075 1.0339 3.9447 -1.0114 0.1899 0.2012 2.6635 10.0085" Properties=species:S:1:pos:R:3 pbc="T T T"
Sr 1.6230 -0.2398 8.7646
Sr 1.4965 -1.9156 2.4676
Sr 0.1006 1.3317 5.0042
Hg 0.0000 0.0000 0.0000
```

Values from the calculation:
Fermi-level density of states in states/eV per atom: 1.082
Space group: No. 123
Total magnetic moment in Bohr magnetons per cell: 0.0
Energy above the lowest structure with this stoichiometry in meV per atom: 5.1
Energy of formation from the pure elements in kJ per mole of atoms: -26.8



First-principles (GGA-PBE) data for an optimized crystal structure of ErTm4Sn3, as listed in Alexandria via LeMat-Bulk.

extended XYZ file:
```
8
Lattice="4.5917 0.0000 0.0000 0.0000 9.8757 -2.8318 -2.2959 -11.1096 7.9899" Properties=species:S:1:pos:R:3 pbc="T T T"
Tm 0.0000 -2.7941 2.9611
Tm 0.0000 3.4371 0.3517
Tm 2.2959 -4.6710 4.8063
Tm 2.2959 1.5602 2.1970
Er 0.0000 0.0000 0.0000
Sn 0.0000 -9.3688 6.8615
Sn 2.2959 8.1349 -1.7035
Sn 2.2959 4.9378 -1.4159
```

Values from the calculation:
Fermi-level density of states in states/eV per atom: 0.879
Space group: No. 12
Total magnetic moment in Bohr magnetons per cell: 0.7
Energy of formation from the pure elements in kJ per mole of atoms: -46.7



First-principles (GGA-PBE) data for an optimized crystal structure of Be2Cd3Au8, as listed in Alexandria via LeMat-Bulk.

extended XYZ file:
```
13
Lattice="-3.5943 -0.1955 -1.9259 1.2876 -7.6166 -1.6299 -3.9542 1.8848 7.1884" Properties=species:S:1:pos:R:3 pbc="T T T"
Cd 0.8993 -5.3195 -1.1384
Cd 0.3883 -2.2972 -0.4916
Cd -1.7972 -0.0977 -0.9630
Au -0.4311 -4.4329 1.2545
Au -5.8298 -1.4945 2.3780
Au -2.4617 -2.6102 0.5322
Au -4.4323 0.4272 3.9016
Au -0.9582 -0.5568 1.8448
Au -3.7993 -3.3172 3.1003
Au -1.8287 -6.3545 -0.2691
Au -1.7084 -5.1751 3.7136
Be -3.4214 -1.0415 2.1642
Be -2.8395 -4.8858 1.4683
```

Values from the calculation:
Fermi-level density of states in states/eV per atom: 0.308
Space group: No. 65
Total magnetic moment in Bohr magnetons per cell: 0.0
Energy of formation from the pure elements in kJ per mole of atoms: -10.9



First-principles (GGA-PBE) data for an optimized crystal structure of Y7Cu3Te12, as listed in Alexandria via LeMat-Bulk.

extended XYZ file:
```
22
Lattice="-2.7640 4.0570 5.7192 -0.4628 -3.0209 6.8901 12.0273 6.0109 4.8086" Properties=species:S:1:pos:R:3 pbc="T T T"
Cu 4.1330 0.3197 10.0170
Cu 6.4993 3.0575 5.8986
Cu 3.5085 3.6923 7.3573
Y 9.8331 6.6866 13.2219
Y 7.3222 3.1853 12.8577
Y 0.3747 4.2143 8.7055
Y 2.0394 0.5218 7.2840
Y 8.4281 2.7999 8.6163
Y 6.7164 6.5157 10.2293
Y 1.4422 3.8753 4.5430
Te 6.6139 1.2237 10.5490
Te 5.9817 4.5989 7.9269
Te -1.4180 2.6362 10.6671
Te 9.1593 4.7632 10.9387
Te 10.2445 4.4436 6.7421
Te 4.9132 4.8794 12.1051
Te 1.7489 2.8466 13.6695
Te 3.9254 2.0787 5.3288
Te 8.5416 8.1309 8.2668
Te -0.3620 2.2560 6.4633
Te 0.7020 1.9279 2.2813
Te 2.8191 2.5174 9.5715
```

Values from the calculation:
Energy relative to the elements, uncorrected in meV/atom: -1142.1
Space group: No. 1
Total magnetic moment in Bohr magnetons per cell: 0.0